Arrangement i

Density functional theory data (PBE-GGA) for an optimized crystal structure of MgTlSe.

## Properties
Space group: I4mm, No. 107
ρ (Mg/m³): 6.06

Unit cell a=6.8459 b=6.8459 c=6.8459 alpha=149.12 beta=149.12 gamma=44.23
Positions (direct):
Mg 0.0000 0.0000 0.0000
Tl 0.2949 0.2949 0.0000
Se 0.5472 0.5472 0.0000


Arrangement ii

Density functional theory data (PBE-GGA) for an optimized crystal structure of MgTlSe.

## Properties
Space group: P4/nmm, No. 129
ρ (Mg/m³): 5.58

Unit cell a=4.5822 b=4.5822 c=8.7180 alpha=90.00 beta=90.00 gamma=90.00
Positions (direct):
Mg 0.2500 0.7500 0.0000
Mg 0.7500 0.2500 0.0000
Tl 0.2500 0.2500 0.4656
Tl 0.7500 0.7500 0.5344
Se 0.2500 0.2500 0.8498
Se 0.7500 0.7500 0.1502


So which one is most stable? That would be arrangement ii, about 87 meV/atom below the next structure.


Arrangement i

Density functional theory data (PBE-GGA) for an optimized crystal structure of MgTl2Se2.

## Properties
Space group: C2/c, No. 15
ρ (Mg/m³): 6.42

Unit cell a=7.9397 b=7.9397 c=6.7305 alpha=110.82 beta=110.82 gamma=111.54
Positions (direct):
Mg 0.0076 0.9924 0.7500
Mg 0.9924 0.0076 0.2500
Tl 0.2095 0.5062 0.8511
Tl 0.4938 0.7905 0.6489
Tl 0.5062 0.2095 0.3511
Tl 0.7905 0.4938 0.1489
Se 0.0912 0.3091 0.1580
Se 0.3091 0.0912 0.6580
Se 0.6909 0.9088 0.3420
Se 0.9088 0.6909 0.8420


Arrangement ii

Density functional theory data (PBE-GGA) for an optimized crystal structure of MgTl2Se2.

## Properties
Space group: P4/mbm, No. 127
ρ (Mg/m³): 6.98

Unit cell a=7.4818 b=7.4818 c=5.0240 alpha=90.00 beta=90.00 gamma=90.00
Positions (direct):
Mg 0.0000 0.0000 0.0000
Mg 0.5000 0.5000 0.0000
Tl 0.1481 0.3519 0.5000
Tl 0.3519 0.8519 0.5000
Tl 0.6481 0.1481 0.5000
Tl 0.8519 0.6481 0.5000
Se 0.1797 0.6797 0.0000
Se 0.3203 0.1797 0.0000
Se 0.6797 0.8203 0.0000
Se 0.8203 0.3203 0.0000


So which one is most stable? That would be arrangement i, about 277 meV/atom below the next structure.